[1]
Ti4InPt: relaxed, PBE.

Structure (CIF):
```
data_Ti4InPt
_cell_length_a 5.0951
_cell_length_b 6.9918
_cell_length_c 7.1314
_cell_angle_alpha 64.48
_cell_angle_beta 89.95
_cell_angle_gamma 68.67
_symmetry_space_group_name_H-M 'P -1'
_symmetry_Int_Tables_number 2
loop_
_symmetry_equiv_pos_as_xyz
'x,y,z'
'-x,-y,-z'
loop_
_atom_site_label
_atom_site_type_symbol
_atom_site_fract_x
_atom_site_fract_y
_atom_site_fract_z
Ti1 Ti 0.0118 0.3590 0.4044
Ti2 Ti 0.2801 0.1645 0.8323
Ti3 Ti 0.3701 0.6414 0.0959
Ti4 Ti 0.4443 0.8353 0.6674
In1 In 0.1384 0.0002 0.2500
Pt1 Pt 0.0000 0.5000 0.0000
Pt2 Pt 0.5000 0.5000 0.5000
```

Properties
Relative energy among the computed polymorphs: 0.105 eV/atom
DOS at the Fermi energy: 14.6 states/eV/cell

[2]
Ti2InPt: relaxed, PBE.

Structure (CIF):
```
data_Ti2InPt
_cell_length_a 3.2660
_cell_length_b 3.2660
_cell_length_c 24.8878
_cell_angle_alpha 90.00
_cell_angle_beta 90.00
_cell_angle_gamma 120.00
_symmetry_space_group_name_H-M 'R -3 m'
_symmetry_Int_Tables_number 166
_symmetry_space_group_name_Hall '-R 3 2"'
loop_
_atom_site_label
_atom_site_type_symbol
_atom_site_fract_x
_atom_site_fract_y
_atom_site_fract_z
Ti1 Ti 0.0000 0.0000 0.2385
In1 In 0.0000 0.0000 0.0000
Pt1 Pt 0.0000 0.0000 0.5000
```

Properties
E: -6.381 eV/atom
DOS at the Fermi energy: 14.8 states/eV/cell

[3]
Ti3InPt: relaxed, PBE.

Structure (CIF):
```
data_Ti3InPt
_cell_length_a 4.8149
_cell_length_b 4.8149
_cell_length_c 4.8149
_cell_angle_alpha 90.00
_cell_angle_beta 90.00
_cell_angle_gamma 90.00
_symmetry_space_group_name_H-M 'P m -3 m'
_symmetry_Int_Tables_number 221
_symmetry_space_group_name_Hall '-P 4 2 3'
loop_
_atom_site_label
_atom_site_type_symbol
_atom_site_fract_x
_atom_site_fract_y
_atom_site_fract_z
Ti1 Ti 0.0000 0.0000 0.5000
In1 In 0.5000 0.5000 0.5000
Pt1 Pt 0.0000 0.0000 0.0000
```

Properties
Relative energy among the computed polymorphs: 0.443 eV/atom
DOS at the Fermi energy: 6.4 states/eV/cell

[4]
Ti3InPt: relaxed, PBE.

Structure (CIF):
```
data_Ti3InPt
_cell_length_a 4.9226
_cell_length_b 4.9226
_cell_length_c 4.9226
_cell_angle_alpha 90.00
_cell_angle_beta 90.00
_cell_angle_gamma 90.00
_symmetry_space_group_name_H-M 'P m -3 m'
_symmetry_Int_Tables_number 221
_symmetry_space_group_name_Hall '-P 4 2 3'
loop_
_atom_site_label
_atom_site_type_symbol
_atom_site_fract_x
_atom_site_fract_y
_atom_site_fract_z
Ti1 Ti 0.0000 0.0000 0.5000
In1 In 0.0000 0.0000 0.0000
Pt1 Pt 0.5000 0.5000 0.5000
```

Properties
Relative energy among the computed polymorphs: 1.544 eV/atom
DOS at the Fermi energy: 6.3 states/eV/cell

[5]
Ti2In2Pt: relaxed, PBE.

Structure (CIF):
```
data_Ti2In2Pt
_cell_length_a 6.6288
_cell_length_b 6.6288
_cell_length_c 4.6173
_cell_angle_alpha 90.00
_cell_angle_beta 90.00
_cell_angle_gamma 90.00
_symmetry_space_group_name_H-M 'P 4/m b m'
_symmetry_Int_Tables_number 127
_symmetry_space_group_name_Hall '-P 4 2ab'
loop_
_atom_site_label
_atom_site_type_symbol
_atom_site_fract_x
_atom_site_fract_y
_atom_site_fract_z
Ti1 Ti 0.1459 0.3541 0.0000
In1 In 0.1637 0.6637 0.5000
Pt1 Pt 0.0000 0.0000 0.0000
```

Properties
Relative energy among the computed polymorphs: 0.000 eV/atom
DOS at the Fermi energy: 6.9 states/eV/cell

[6]
Tl2In2Pt: relaxed, PBE.

Structure (CIF):
```
data_Tl2In2Pt
_cell_length_a 7.0356
_cell_length_b 7.0356
_cell_length_c 5.5511
_cell_angle_alpha 90.00
_cell_angle_beta 90.00
_cell_angle_gamma 90.00
_symmetry_space_group_name_H-M 'P 4/m b m'
_symmetry_Int_Tables_number 127
_symmetry_space_group_name_Hall '-P 4 2ab'
loop_
_atom_site_label
_atom_site_type_symbol
_atom_site_fract_x
_atom_site_fract_y
_atom_site_fract_z
Tl1 Tl 0.1784 0.3216 0.0000
In1 In 0.1520 0.6520 0.5000
Pt1 Pt 0.0000 0.0000 0.5000
```

Properties
Relative energy among the computed polymorphs: 0.000 eV/atom
DOS at the Fermi energy: 4.5 states/eV/cell

[7]
TlIn2Pt: relaxed, PBE.

Structure (CIF):
```
data_TlIn2Pt
_cell_length_a 6.0917
_cell_length_b 6.9117
_cell_length_c 4.5091
_cell_angle_alpha 90.00
_cell_angle_beta 102.55
_cell_angle_gamma 90.00
_symmetry_space_group_name_H-M 'C 1 2/m 1'
_symmetry_Int_Tables_number 12
loop_
_symmetry_equiv_pos_as_xyz
'x,y,z'
'-x,-y,-z'
'-x,y,-z'
'x,-y,z'
'x+1/2,y+1/2,z'
'-x+1/2,-y+1/2,-z'
'-x+1/2,y+1/2,-z'
'x+1/2,-y+1/2,z'
loop_
_atom_site_label
_atom_site_type_symbol
_atom_site_fract_x
_atom_site_fract_y
_atom_site_fract_z
Tl1 Tl 0.0000 0.0000 0.0000
In1 In 0.2500 0.2500 0.5000
Pt1 Pt 0.0000 0.5000 0.0000
```

Properties
Relative energy among the computed polymorphs: 0.218 eV/atom
DOS at the Fermi energy: 2.2 states/eV/cell

[8]
TlIn2Pt: relaxed, PBE.

Structure (CIF):
```
data_TlIn2Pt
_cell_length_a 4.4629
_cell_length_b 4.4629
_cell_length_c 9.1479
_cell_angle_alpha 90.00
_cell_angle_beta 90.00
_cell_angle_gamma 90.00
_symmetry_space_group_name_H-M 'I -4 m 2'
_symmetry_Int_Tables_number 119
_symmetry_space_group_name_Hall 'I -4 -2'
loop_
_atom_site_label
_atom_site_type_symbol
_atom_site_fract_x
_atom_site_fract_y
_atom_site_fract_z
Tl1 Tl 0.0000 0.0000 0.0000
In1 In 0.0000 0.0000 0.5000
In2 In 0.0000 0.5000 0.7500
Pt1 Pt 0.0000 0.5000 0.2500
```

Properties
Relative energy among the computed polymorphs: 0.238 eV/atom
DOS at the Fermi energy: 3.5 states/eV/cell